# Li3SnAu (GGA-PBEsol, optimized geometry)
data_Li3SnAu
_chemical_formula_sum 'Li3 Sn1 Au1'
_cell_length_a 4.7195
_cell_length_b 4.7195
_cell_length_c 4.7195
_cell_angle_alpha 90.00
_cell_angle_beta 90.00
_cell_angle_gamma 90.00
_symmetry_space_group_name_H-M 'P m -3 m'
_symmetry_Int_Tables_number 221
_symmetry_space_group_name_Hall '-P 4 2 3'
loop_
_atom_site_label
_atom_site_fract_x
_atom_site_fract_y
_atom_site_fract_z
Li1 0.0000 0.0000 0.5000
Sn1 0.5000 0.5000 0.5000
Au1 0.0000 0.0000 0.0000
# energy of formation: -0.11 eV per atom
# polymorph energy (0 for the lowest one): 0 kJ/mol of formula units